No. 1
Below is crystalline KBa3Cr at its relaxed geometry, with properties calculated at the GGA-PBE level.

abc: 6.5425 6.5425 6.5425
angles: 90.00 90.00 90.00
Closest atoms and distances in Å follow each position.
Fractional coordinates of all 5 atoms:
Cr  0.5000  0.5000  0.5000  12 Ba 4.63
K  0.0000  0.0000  0.0000  6 Ba 3.27
Ba  0.0000  0.5000  0.0000  2 K 3.27
Ba  0.0000  0.0000  0.5000  2 K 3.27
Ba  0.5000  0.0000  0.0000  2 K 3.27

Output
Formation energy   162 kJ per mole of atoms
Raw total energy   -1.616 eV/atom
ΔE to the lowest computed polymorph   0.963 eV/atom
Symmetry   Pm-3m (221)
M_tot   1.44 μB/f.u.

***

No. 2
Below is crystalline KBa4Cr at its relaxed geometry, with properties calculated at the GGA-PBE level.

abc: 7.9206 7.9206 7.9206
angles: 60.00 60.00 60.00
Closest atoms and distances in Å follow each position.
Fractional coordinates of all 6 atoms:
K  0.0000  0.0000  0.0000  12 Ba 4.65, 4 Cr 4.85
Ba  0.8723  0.3759  0.3759  6 Ba 3.93-3.99
Ba  0.3759  0.3759  0.8723  6 Ba 3.93-3.99
Ba  0.3759  0.8723  0.3759  6 Ba 3.93-3.99
Ba  0.3759  0.3759  0.3759  6 Ba 3.93-3.99
Cr  0.7500  0.7500  0.7500  12 Ba 4.64, 4 K 4.85

Output
Formation energy   66 kJ per mole of atoms
Raw total energy   -2.382 eV/atom
Symmetry   F-43m (216)
M_tot   4.18 μB/f.u.

***

No. 3
Below is crystalline KBaCr3 at its relaxed geometry, with properties calculated at the GGA-PBE level.

abc: 5.8358 5.8358 5.8358
angles: 90.00 90.00 90.00
Closest atoms and distances in Å follow each position.
Fractional coordinates of all 5 atoms:
Cr  0.0000  0.5000  0.0000  2 K 2.92
Cr  0.0000  0.0000  0.5000  2 K 2.92
Cr  0.5000  0.0000  0.0000  2 K 2.92
K  0.0000  0.0000  0.0000  6 Cr 2.92
Ba  0.5000  0.5000  0.5000  12 Cr 4.13

Output
Formation energy   167 kJ per mole of atoms
Raw total energy   -4.644 eV/atom
ΔE to the lowest computed polymorph   0.000 eV/atom
Symmetry   Pm-3m (221)
M_tot   15.29 μB/f.u.

***

No. 4
Below is crystalline KBa3Cr at its relaxed geometry, with properties calculated at the GGA-PBE level.

abc: 6.2564 6.2564 6.2564
angles: 90.00 90.00 90.00
Closest atoms and distances in Å follow each position.
Fractional coordinates of all 5 atoms:
Cr  0.0000  0.0000  0.0000  6 Ba 3.13
K  0.5000  0.5000  0.5000  12 Ba 4.42
Ba  0.0000  0.5000  0.0000  2 Cr 3.13
Ba  0.0000  0.0000  0.5000  2 Cr 3.13
Ba  0.5000  0.0000  0.0000  2 Cr 3.13

Output
Formation energy   69 kJ per mole of atoms
Raw total energy   -2.579 eV/atom
ΔE to the lowest computed polymorph   0.000 eV/atom
Symmetry   Pm-3m (221)
M_tot   0.00 μB/f.u.

***

No. 5
Below is crystalline K3BaCr at its relaxed geometry, with properties calculated at the GGA-PBE level.

abc: 6.8108 6.8108 6.8108
angles: 90.00 90.00 90.00
Closest atoms and distances in Å follow each position.
Fractional coordinates of all 5 atoms:
Cr  0.0000  0.0000  0.0000  6 K 3.41
K  0.0000  0.5000  0.0000  2 Cr 3.41
K  0.0000  0.0000  0.5000  2 Cr 3.41
K  0.5000  0.0000  0.0000  2 Cr 3.41
Ba  0.5000  0.5000  0.5000  12 K 4.82

Output
Formation energy   64 kJ per mole of atoms
Raw total energy   -2.303 eV/atom
Symmetry   Pm-3m (221)
M_tot   5.38 μB/f.u.